# 1
A plane-wave DFT calculation with PBE was carried out for an optimized crystal structure of Ba2SrAs.

Calculated values
Its formation energy is -0.553 eV per atom. Its space group is P4/mmm, No. 123.

a = 4.1414 Å, b = 4.1415 Å, c = 10.9562 Å
α = 90.00°, β = 90.00°, γ = 90.05°
With the nearest neighbours (Å) after each atom.
Fractional positions:
Sr 0.5000 0.5000 0.2500  4 Sr 4.14
As 0.5000 0.5000 0.7500  8 Ba 3.40
Ba 0.0000 0.0000 0.9079  4 As 3.40, 1 Ba 3.46
Ba 0.0000 0.0000 0.5921  4 As 3.40, 1 Ba 3.46

***

# 2
A plane-wave DFT calculation with PBE was carried out for an optimized crystal structure of ScCo2Ru2.

Calculated values
The value obtained for the energy above the lowest structure with this stoichiometry is 0.26 eV per formula unit. Its formation energy is 0.057 eV per atom. Its space group is P4/mbm, No. 127.

a = 7.1838 Å, b = 7.1838 Å, c = 2.7174 Å
α = 90.00°, β = 90.00°, γ = 90.00°
With the nearest neighbours (Å) after each atom.
Fractional positions:
Sc 0.0000 0.0000 0.0000  2 Sc 2.72, 4 Ru 2.84, 8 Co 2.98
Sc 0.5000 0.5000 0.0000  2 Sc 2.72, 4 Ru 2.84, 8 Co 2.98
Ru 0.3751 0.8751 0.0000  6 Co 2.46-2.56, 3 Ru 2.54-2.72
Ru 0.8751 0.6249 0.0000  6 Co 2.46-2.56, 3 Ru 2.54-2.72
Ru 0.6249 0.1249 0.0000  6 Co 2.46-2.56, 3 Ru 2.54-2.72
Ru 0.1249 0.3751 0.0000  6 Co 2.46-2.56, 3 Ru 2.54-2.72
Co 0.1731 0.6731 0.5000  6 Ru 2.46-2.56, 2 Co 2.72
Co 0.6731 0.8269 0.5000  6 Ru 2.46-2.56, 2 Co 2.72
Co 0.8269 0.3269 0.5000  6 Ru 2.46-2.56, 2 Co 2.72
Co 0.3269 0.1731 0.5000  6 Ru 2.46-2.56, 2 Co 2.72

***

# 3
A plane-wave DFT calculation with PBE was carried out for an optimized crystal structure of BeAg2WBr.

Calculated values
The value obtained for the energy above the lowest structure with this stoichiometry is 1.21 eV per formula unit. As for the energy relative to the elements, uncorrected: 1.61 eV/atom. Its space group is P4/mmm, No. 123.

a = 5.3084 Å, b = 4.7249 Å, c = 5.3084 Å
α = 90.00°, β = 90.00°, γ = 90.00°
With the nearest neighbours (Å) after each atom.
Fractional positions:
Be 0.5000 0.5000 0.5000  8 Ag 3.55, 4 Br 3.75
Br 0.0000 0.5000 0.0000  2 W 2.36
Ag 0.0000 0.0000 0.5000  2 W 2.65
Ag 0.5000 0.0000 0.0000  2 W 2.65
W 0.0000 0.0000 0.0000  2 Br 2.36

***

# 4
A plane-wave DFT calculation with PBE was carried out for an optimized crystal structure of Pr7Sm16Er6.

Calculated values
Its formation energy is 0.247 eV per atom. Its space group is Fm-3m, No. 225.

a = 11.3400 Å, b = 11.3400 Å, c = 11.3400 Å
α = 60.00°, β = 60.00°, γ = 60.00°
With the nearest neighbours (Å) after each atom.
Fractional positions:
Pr 0.0000 0.0000 0.0000  8 Sm 3.50
Pr 0.5000 0.0000 0.5000  8 Sm 3.30-3.46
Pr 0.0000 0.5000 0.0000  8 Sm 3.30-3.46
Pr 0.0000 0.5000 0.5000  8 Sm 3.30-3.46
Pr 0.5000 0.0000 0.0000  8 Sm 3.30-3.46
Pr 0.0000 0.0000 0.5000  8 Sm 3.30-3.46
Pr 0.5000 0.5000 0.0000  8 Sm 3.30-3.46
Sm 0.8739 0.8739 0.3782  4 Pr 3.46-3.50, 3 Er 3.60, 3 Sm 3.62
Sm 0.8739 0.8739 0.8739  4 Pr 3.46-3.50, 3 Er 3.60, 3 Sm 3.62
Sm 0.8739 0.3782 0.8739  4 Pr 3.46-3.50, 3 Er 3.60, 3 Sm 3.62
Sm 0.3782 0.8739 0.8739  4 Pr 3.46-3.50, 3 Er 3.60, 3 Sm 3.62
Sm 0.1261 0.1261 0.1261  4 Pr 3.46-3.50, 3 Er 3.60, 3 Sm 3.62
Sm 0.1261 0.1261 0.6218  4 Pr 3.46-3.50, 3 Er 3.60, 3 Sm 3.62
Sm 0.1261 0.6218 0.1261  4 Pr 3.46-3.50, 3 Er 3.60, 3 Sm 3.62
Sm 0.6218 0.1261 0.1261  4 Pr 3.46-3.50, 3 Er 3.60, 3 Sm 3.62
Sm 0.6508 0.6508 0.0475  3 Pr 3.30, 3 Sm 3.62, 3 Er 3.69
Sm 0.6508 0.6508 0.6508  3 Pr 3.30, 3 Sm 3.62, 3 Er 3.69
Sm 0.6508 0.0475 0.6508  3 Pr 3.30, 3 Sm 3.62, 3 Er 3.69
Sm 0.0475 0.6508 0.6508  3 Pr 3.30, 3 Sm 3.62, 3 Er 3.69
Sm 0.3492 0.3492 0.3492  3 Pr 3.30, 3 Sm 3.62, 3 Er 3.69
Sm 0.3492 0.3492 0.9525  3 Pr 3.30, 3 Sm 3.62, 3 Er 3.69
Sm 0.3492 0.9525 0.3492  3 Pr 3.30, 3 Sm 3.62, 3 Er 3.69
Sm 0.9525 0.3492 0.3492  3 Pr 3.30, 3 Sm 3.62, 3 Er 3.69
Er 0.2627 0.7373 0.2627  8 Sm 3.60-3.69, 4 Pr 4.01
Er 0.7373 0.2627 0.7373  8 Sm 3.60-3.69, 4 Pr 4.01
Er 0.7373 0.2627 0.2627  8 Sm 3.60-3.69, 4 Pr 4.01
Er 0.2627 0.7373 0.7373  8 Sm 3.60-3.69, 4 Pr 4.01
Er 0.7373 0.7373 0.2627  8 Sm 3.60-3.69, 4 Pr 4.01
Er 0.2627 0.2627 0.7373  8 Sm 3.60-3.69, 4 Pr 4.01

***

# 5
A plane-wave DFT calculation with PBE was carried out for an optimized crystal structure of CrOs3.

Calculated values
Its formation energy is 0.099 eV per atom. Its space group is I4/mmm, No. 139.

a = 3.8021 Å, b = 4.6721 Å, c = 3.8021 Å
α = 65.99°, β = 90.00°, γ = 114.01°
With the nearest neighbours (Å) after each atom.
Fractional positions:
Cr 0.0000 0.0000 0.0000  12 Os 2.69-2.70
Os 0.2500 0.5000 0.2500  8 Os 2.69-2.70, 4 Cr 2.70
Os 0.5000 0.0000 0.5000  4 Cr 2.69, 8 Os 2.70
Os 0.7500 0.5000 0.7500  8 Os 2.69-2.70, 4 Cr 2.70

***

# 6
A plane-wave DFT calculation with PBE was carried out for an optimized crystal structure of TbPm2PrEr5.

Calculated values
Its formation energy is 0.261 eV per atom. Its space group is I4/mcm, No. 140.

a = 8.7379 Å, b = 8.7379 Å, c = 9.8359 Å
α = 116.37°, β = 116.37°, γ = 90.00°
With the nearest neighbours (Å) after each atom.
Fractional positions:
Tb 0.2500 0.7500 0.5000  4 Er 3.12
Tb 0.7500 0.2500 0.5000  4 Er 3.12
Pm 0.1160 0.3840 0.0000  1 Pm 2.87, 2 Er 3.00
Pm 0.6160 0.1160 0.0000  1 Pm 2.87, 2 Er 3.00
Pm 0.3840 0.8840 0.0000  1 Pm 2.87, 2 Er 3.00
Pm 0.8840 0.6160 0.0000  1 Pm 2.87, 2 Er 3.00
Pr 0.2500 0.2500 0.5000  10 Er 3.58-3.83
Pr 0.7500 0.7500 0.5000  10 Er 3.58-3.83
Er 0.9272 0.4272 0.2727  1 Pm 3.00, 1 Tb 3.12
Er 0.6545 0.1545 0.7273  1 Pm 3.00, 1 Tb 3.12
Er 0.0728 0.5728 0.7273  1 Pm 3.00, 1 Tb 3.12
Er 0.1545 0.0728 0.7273  1 Pm 3.00, 1 Tb 3.12
Er 0.5728 0.6545 0.7273  1 Pm 3.00, 1 Tb 3.12
Er 0.8455 0.9272 0.2727  1 Pm 3.00, 1 Tb 3.12
Er 0.4272 0.3455 0.2727  1 Pm 3.00, 1 Tb 3.12
Er 0.3455 0.8455 0.2727  1 Pm 3.00, 1 Tb 3.12
Er 0.5000 0.5000 0.0000  4 Pm 3.50, 8 Er 3.76, 2 Pr 3.83
Er 0.0000 0.0000 0.0000  4 Pm 3.50, 8 Er 3.76, 2 Pr 3.83